(1)
TiSbMo3: single point on PBEsol structure, meta-GGA SCAN.

Unit cell a=4.7944 b=4.7944 c=4.7944 alpha=90.00 beta=90.00 gamma=90.00
Space group Pm-3m (No. 221)
Asymmetric unit:
Ti (0.0000, 0.0000, 0.0000)
Sb (0.5000, 0.5000, 0.5000)
Mo (0.0000, 0.5000, 0.5000)

Formation energy (no corrections) (meV per atom): 1947.3
DOS at the Fermi energy (states/eV per cell): 6.2



(2)
ZrSbIrSe2: single point on PBEsol structure, meta-GGA SCAN.

Unit cell a=4.9307 b=4.9307 c=5.6801 alpha=90.00 beta=90.00 gamma=90.00
Space group P4/mmm (No. 123)
Asymmetric unit:
Zr (0.0000, 0.0000, 0.0000)
Sb (0.0000, 0.0000, 0.5000)
Ir (0.5000, 0.5000, 0.5000)
Se (0.0000, 0.5000, 0.0000)

Formation energy (no corrections) (meV per atom): 768.6
DOS at the Fermi energy (states/eV per cell): 4.7



(3)
Ca2GaO2: single point on PBEsol structure, meta-GGA SCAN.

Unit cell a=4.5308 b=4.5308 c=10.2994 alpha=90.00 beta=90.00 gamma=90.00
Space group I4/mmm (No. 139)
Asymmetric unit:
Ca (0.0000, 0.5000, 0.2500)
Ga (0.0000, 0.0000, 0.0000)
O (0.0000, 0.0000, 0.2166)

Formation energy (no corrections) (meV per atom): -2002.0
DOS at the Fermi energy (states/eV per cell): 3.8



(4)
AlZn2Cu: single point on PBEsol structure, meta-GGA SCAN.

Unit cell a=8.5829 b=2.7680 c=4.6823 alpha=90.00 beta=100.64 gamma=90.00
Space group Cm (No. 8)
Asymmetric unit:
Al (0.0000, 0.0000, 0.0000)
Zn (0.0095, 0.5000, 0.5169)
Zn (0.2551, 0.5000, 0.2733)
Cu (0.2562, 0.0000, 0.7717)

Calculated formation energy (meV/atom): -55
DOS at the Fermi energy (states/eV per cell): 2.4



(5)
NaCu2Bi2: single point on PBEsol structure, meta-GGA SCAN.

Unit cell a=4.3847 b=4.3847 c=12.2071 alpha=90.00 beta=90.00 gamma=90.00
Space group I4/mmm (No. 139)
Asymmetric unit:
Na (0.0000, 0.0000, 0.0000)
Cu (0.0000, 0.5000, 0.2500)
Bi (0.0000, 0.0000, 0.3730)

Energy relative to the lowest polymorph listed for this composition (eV/atom): 0.000
Calculated formation energy (meV/atom): 21
DOS at the Fermi energy (states/eV per cell): 2.7



(6)
FeSb2Ir: single point on PBEsol structure, meta-GGA SCAN.

Unit cell a=3.2322 b=3.2322 c=6.4516 alpha=90.00 beta=90.00 gamma=90.00
Space group P4/mmm (No. 123)
Asymmetric unit:
Fe (0.0000, 0.0000, 0.0000)
Sb (0.5000, 0.5000, 0.2399)
Ir (0.0000, 0.0000, 0.5000)

Energy relative to the lowest polymorph listed for this composition (eV/atom): 0.576
Formation energy (no corrections) (meV per atom): 402.7
DOS at the Fermi energy (states/eV per cell): 2.6



(7)
Co3ReF: single point on PBEsol structure, meta-GGA SCAN.

Unit cell a=3.8682 b=3.8682 c=3.8682 alpha=90.00 beta=90.00 gamma=90.00
Space group Pm-3m (No. 221)
Asymmetric unit:
Co (0.0000, 0.0000, 0.5000)
Re (0.5000, 0.5000, 0.5000)
F (0.0000, 0.0000, 0.0000)

Formation energy (no corrections) (meV per atom): 467.6
DOS at the Fermi energy (states/eV per cell): 3.4



(8)
BaHgSe2: single point on PBEsol structure, meta-GGA SCAN.

Unit cell a=5.0854 b=5.0854 c=23.1436 alpha=90.00 beta=90.00 gamma=120.00
Space group R-3m (No. 166, hexagonal axes)
Asymmetric unit:
Ba (0.0000, 0.0000, 0.0000)
Hg (0.0000, 0.0000, 0.5000)
Se (0.0000, 0.0000, 0.3951)

Formation energy (no corrections) (meV per atom): -1206.3
DOS at the Fermi energy (states/eV per cell): 0.0